(1)
An optimized crystal structure of BaTlB3, computed with PBE-GGA.

Cell lengths 4.767, 4.767, 4.767 Å; angles 90.00, 90.00, 90.00 degrees
Sites, in units of the cell vectors:
Ba 0.000 0.000 0.000
Tl 0.500 0.500 0.500
B 0.000 0.500 0.500
B 0.500 0.000 0.500
B 0.500 0.500 0.000

* formation energy from the elements: 1797 meV/atom
* symmetry: Pm-3m (221)
* energy above the most stable polymorph in this dataset: 0 meV per atom

---

(2)
An optimized crystal structure of ScTiReMo, computed with PBE-GGA.

Cell lengths 4.535, 4.535, 4.535 Å; angles 60.00, 60.00, 60.00 degrees
Sites, in units of the cell vectors:
Sc 0.000 0.000 0.000
Ti 0.750 0.750 0.750
Re 0.500 0.500 0.500
Mo 0.250 0.250 0.250

* formation energy from the elements: -64 meV/atom
* symmetry: F-43m (216)

---

(3)
An optimized crystal structure of CdAg2H, computed with PBE-GGA.

Cell lengths 8.555, 8.555, 8.555 Å; angles 19.96, 19.96, 19.96 degrees
Sites, in units of the cell vectors:
Cd 0.000 0.000 0.000
Ag 0.114 0.114 0.114
Ag 0.886 0.886 0.886
H 0.500 0.500 0.500

* symmetry: R-3m (166)
* energy above the most stable polymorph in this dataset: 51 meV per atom

---

(4)
An optimized crystal structure of MgPdSe2Br, computed with PBE-GGA.

Cell lengths 4.996, 4.996, 5.067 Å; angles 90.00, 90.00, 90.00 degrees
Sites, in units of the cell vectors:
Mg 0.000 0.000 0.000
Pd 0.500 0.500 0.500
Se 0.000 0.500 0.500
Se 0.500 0.000 0.500
Br 0.500 0.500 0.000

* formation energy from raw total energies: -45 meV/atom
* symmetry: P4/mmm (123)
* energy above the most stable polymorph in this dataset: 0 meV per atom

---

(5)
An optimized crystal structure of SrRuW2, computed with PBE-GGA.

Cell lengths 6.084, 6.084, 6.084 Å; angles 152.75, 131.30, 56.70 degrees
Sites, in units of the cell vectors:
Sr 0.000 0.000 0.000
Ru 0.500 0.500 0.000
W 0.289 0.789 0.500
W 0.711 0.211 0.500

* formation energy from the elements: 818 meV/atom
* symmetry: Immm (71)
* energy above the most stable polymorph in this dataset: 155 meV per atom

---

(6)
An optimized crystal structure of NdZnCuAu, computed with PBE-GGA.

Cell lengths 4.841, 4.841, 4.841 Å; angles 60.00, 60.00, 60.00 degrees
Sites, in units of the cell vectors:
Nd 0.000 0.000 0.000
Zn 0.500 0.500 0.500
Cu 0.750 0.750 0.750
Au 0.250 0.250 0.250

* formation energy from the elements: -335 meV/atom
* symmetry: F-43m (216)
* energy above the most stable polymorph in this dataset: 82 meV per atom